[1]
DFT (PBE-GGA) results for a relaxed structure of Ce5C3N12.

Computed properties:
- ΔE_f (raw): 20 meV/atom
- DFT total energy: -627.4 eV for the cell shown

Lattice parameters (Å, degrees): 10.6114 10.6114 10.6114 109.47 109.47 109.47
Element x y z (fractional)
C: 0.7500 0.3750 0.1250
C: 0.8750 0.7500 0.1250
C: 0.3750 0.7500 0.6250
C: 0.2500 0.1250 0.3750
C: 0.8750 0.1250 0.2500
C: 0.3750 0.6250 0.2500
C: 0.6250 0.3750 0.7500
C: 0.1250 0.8750 0.7500
C: 0.7500 0.8750 0.6250
C: 0.6250 0.2500 0.3750
C: 0.1250 0.2500 0.8750
C: 0.2500 0.6250 0.8750
Ce: 0.1250 0.3750 0.2500
Ce: 0.0000 0.5000 0.0000
Ce: 0.0000 0.0000 0.0000
Ce: 0.3750 0.2500 0.1250
Ce: 0.5000 0.0000 0.5000
Ce: 0.5000 0.5000 0.0000
Ce: 0.1250 0.7500 0.3750
Ce: 0.7500 0.1250 0.8750
Ce: 0.7500 0.6250 0.3750
Ce: 0.3750 0.1250 0.7500
Ce: 0.6250 0.8750 0.2500
Ce: 0.5000 0.5000 0.5000
Ce: 0.5000 0.0000 0.0000
Ce: 0.0000 0.0000 0.5000
Ce: 0.2500 0.3750 0.6250
Ce: 0.2500 0.8750 0.1250
Ce: 0.0000 0.5000 0.5000
Ce: 0.8750 0.2500 0.6250
Ce: 0.6250 0.7500 0.8750
Ce: 0.8750 0.6250 0.7500
N: 0.8215 0.1706 0.1306
N: 0.3091 0.6306 0.4601
N: 0.8694 0.3294 0.1785
N: 0.6306 0.3215 0.1706
N: 0.6510 0.8215 0.6909
N: 0.8694 0.5399 0.1909
N: 0.3091 0.6785 0.3490
N: 0.0399 0.8490 0.1706
N: 0.5399 0.8694 0.6909
N: 0.8215 0.6510 0.1909
N: 0.6785 0.3694 0.3294
N: 0.8091 0.9601 0.1306
N: 0.1706 0.8215 0.6306
N: 0.3294 0.4601 0.1510
N: 0.1510 0.9601 0.3294
N: 0.3490 0.1706 0.5399
N: 0.1510 0.1909 0.3215
N: 0.3694 0.6909 0.0399
N: 0.8091 0.8490 0.1785
N: 0.1706 0.3490 0.0399
N: 0.3294 0.8694 0.6785
N: 0.5399 0.6706 0.3490
N: 0.9601 0.8091 0.6306
N: 0.6785 0.3091 0.8490
N: 0.4601 0.3294 0.6510
N: 0.0399 0.1909 0.3694
N: 0.3215 0.6909 0.1510
N: 0.1909 0.1510 0.8215
N: 0.6706 0.1306 0.3215
N: 0.8294 0.6510 0.9601
N: 0.6306 0.3091 0.9601
N: 0.6510 0.8294 0.4601
N: 0.8490 0.8091 0.6785
N: 0.8490 0.0399 0.6706
N: 0.8294 0.1785 0.3694
N: 0.1909 0.0399 0.8694
N: 0.6706 0.5399 0.8490
N: 0.4601 0.1306 0.3091
N: 0.1785 0.3490 0.8091
N: 0.3215 0.6306 0.6706
N: 0.9601 0.1510 0.8294
N: 0.6909 0.3215 0.6510
N: 0.3694 0.6785 0.8294
N: 0.1306 0.4601 0.8091
N: 0.3490 0.1785 0.3091
N: 0.1306 0.6706 0.8215
N: 0.6909 0.3694 0.5399
N: 0.1785 0.8294 0.8694

[2]
DFT (PBE-GGA) results for a relaxed structure of CeC3N6.

Computed properties:
- ΔE_f (raw): 13 meV/atom
- DFT total energy: -83.4 eV for the cell shown

Lattice parameters (Å, degrees): 3.7915 6.6248 6.6248 116.45 101.00 101.00
Element x y z (fractional)
Ce: 0.2595 0.0000 0.0000
C: 0.9701 0.4503 0.0000
C: 0.9701 0.0000 0.4503
C: 0.5197 0.5497 0.5497
N: 0.0959 0.0000 0.6332
N: 0.0959 0.6332 0.0000
N: 0.8499 0.0000 0.2623
N: 0.8499 0.2623 0.0000
N: 0.5876 0.7377 0.7377
N: 0.4627 0.3668 0.3668

[3]
DFT (PBE-GGA) results for a relaxed structure of Ce5CN4.

Computed properties:
- ΔE_f (raw): -1217 meV/atom
- DFT total energy: -84.4 eV for the cell shown

Lattice parameters (Å, degrees): 3.5948 5.0774 9.5049 105.49 100.90 90.00
Element x y z (fractional)
Ce: 0.6020 0.1020 0.2040
Ce: 0.8001 0.3001 0.6002
Ce: 0.1999 0.6999 0.3998
Ce: 0.0000 0.5000 0.0000
Ce: 0.3980 0.8980 0.7960
C: 0.0000 0.0000 0.0000
N: 0.3985 0.3985 0.7970
N: 0.7980 0.7980 0.5959
N: 0.2020 0.2020 0.4041
N: 0.6015 0.6015 0.2030

[4]
DFT (PBE-GGA) results for a relaxed structure of NaCe2C2N6.

Computed properties:
- ΔE_f (raw): -559 meV/atom
- DFT total energy: -87.7 eV for the cell shown

Lattice parameters (Å, degrees): 6.2584 6.4869 5.3300 115.71 102.73 51.63
Element x y z (fractional)
Na: 0.5000 0.0000 0.5000
Ce: 0.7806 0.3831 0.7657
Ce: 0.2194 0.6169 0.2343
C: 0.0483 0.7180 0.7489
C: 0.9517 0.2820 0.2511
N: 0.3277 0.5404 0.7317
N: 0.0934 0.3147 0.1331
N: 0.9214 0.9227 0.6449
N: 0.9066 0.6853 0.8669
N: 0.0786 0.0773 0.3551
N: 0.6723 0.4596 0.2683

[5]
DFT (PBE-GGA) results for a relaxed structure of Ce8C4N3O.

Computed properties:
- ΔE_f (raw): -985 meV/atom
- DFT total energy: -130.1 eV for the cell shown

Lattice parameters (Å, degrees): 7.2649 7.2262 7.2649 120.18 120.00 90.00
Element x y z (fractional)
Ce: 0.2499 0.7473 0.9974
Ce: 0.2499 0.7473 0.4999
Ce: 0.2516 0.2548 0.5032
Ce: 0.7475 0.7473 0.9974
Ce: 0.2525 0.2527 0.0026
Ce: 0.7484 0.7452 0.4968
Ce: 0.7501 0.2527 0.5001
Ce: 0.7501 0.2527 0.0026
C: 0.5000 0.0000 0.0000
C: 0.5000 0.0000 0.5000
C: 0.0000 0.0000 0.0000
C: 0.0000 0.0000 0.5000
N: 0.5000 0.5000 0.0000
N: 0.5000 0.5000 0.5000
N: 0.0000 0.5000 0.5000
O: 0.0000 0.5000 0.0000

[6]
DFT (PBE-GGA) results for a relaxed structure of Ce8C3N4O.

Computed properties:
- ΔE_f (raw): -1165 meV/atom
- DFT total energy: -132.0 eV for the cell shown

Lattice parameters (Å, degrees): 7.2204 7.2171 7.2202 120.01 120.00 90.00
Element x y z (fractional)
Ce: 0.2513 0.7535 0.0023
Ce: 0.2513 0.7535 0.5025
Ce: 0.2482 0.2448 0.4964
Ce: 0.7510 0.7535 0.0023
Ce: 0.2490 0.2465 0.9977
Ce: 0.7518 0.7552 0.5036
Ce: 0.7487 0.2465 0.4975
Ce: 0.7487 0.2465 0.9977
C: 0.5000 0.5000 0.0000
C: 0.5000 0.5000 0.5000
C: 0.0000 0.5000 0.5000
N: 0.5000 0.0000 0.0000
N: 0.5000 0.0000 0.5000
N: 0.0000 0.0000 0.0000
N: 0.0000 0.0000 0.5000
O: 0.0000 0.5000 0.0000

[7]
DFT (PBE-GGA) results for a relaxed structure of Ce6CN3O2.

Computed properties:
- ΔE_f (raw): -1769 meV/atom
- DFT total energy: -100.9 eV for the cell shown

Lattice parameters (Å, degrees): 3.5766 7.1494 7.9820 103.09 102.95 90.00
Element x y z (fractional)
Ce: 0.3323 0.9192 0.6646
Ce: 0.6657 0.5857 0.3314
Ce: 0.6677 0.0808 0.3354
Ce: 0.0001 0.2530 0.0001
Ce: 0.9999 0.7470 0.9999
Ce: 0.3343 0.4143 0.6686
C: 0.5000 0.0000 0.0000
N: 0.5000 0.5000 0.0000
N: 0.8341 0.1707 0.6682
N: 0.1659 0.8293 0.3318
O: 0.8322 0.6656 0.6645
O: 0.1678 0.3344 0.3355

[8]
DFT (PBE-GGA) results for a relaxed structure of Ce6C3NO2.

Computed properties:
- ΔE_f (raw): -1315 meV/atom
- DFT total energy: -97.3 eV for the cell shown

Lattice parameters (Å, degrees): 3.6280 7.1968 8.0530 102.20 103.02 90.00
Element x y z (fractional)
Ce: 0.3344 0.9170 0.6688
Ce: 0.6668 0.5830 0.3337
Ce: 0.6656 0.0830 0.3312
Ce: 0.0004 0.2469 0.0008
Ce: 0.9996 0.7531 0.9992
Ce: 0.3332 0.4170 0.6663
C: 0.5000 0.5000 0.0000
C: 0.8327 0.1687 0.6654
C: 0.1673 0.8313 0.3346
N: 0.5000 0.0000 0.0000
O: 0.8335 0.6671 0.6671
O: 0.1665 0.3329 0.3329

Which value of DFT total energy does entry 3 give? -84.4 eV for the cell shown